ScPb2F PBE optimized geometry; calculated volume = 23.21 Å³/atom; N(E_F) = 0.6 states/eV/cell; density = 8.6 g/cm3; space group = Fm-3m (225); raw total energy = -17.813 eV/f.u.
1.0
0.000 3.594 3.594
3.594 0.000 3.594
3.594 3.594 0.000
Pb F Sc
2 1 1
direct
0.750 0.750 0.750
0.250 0.250 0.250
0.000 0.000 0.000
0.500 0.500 0.500